Entry from the Alexandria database: a PBEsol-optimized structure of LiInBr2 (meta-GGA SCAN).

Calculated values
Calculated total energy ... -19.816 eV/atom
Uncorrected formation energy ... -1.1419 eV per atom

Cell: 7.8014 7.8014 7.8014 Å, 29.87 29.87 29.87°
With the nearest neighbours (Å) after each atom.
Positions (direct):
Li: 0.0000 0.0000 0.0000  6 Br 2.75
In: 0.5000 0.5000 0.5000  6 Br 3.23
Br: 0.2672 0.2672 0.2672  3 Li 2.75
Br: 0.7328 0.7328 0.7328  3 Li 2.75



Entry from the Alexandria database: a PBEsol-optimized structure of ScTaPb (meta-GGA SCAN).

Calculated values
Calculated total energy ... -52.122 eV/atom

Cell: 7.2144 7.2144 7.2144 Å, 155.59 155.59 34.79°
With the nearest neighbours (Å) after each atom.
Positions (direct):
Sc: 0.0000 0.0000 0.0000  4 Ta 3.01, 4 Sc 3.05, 4 Pb 3.30
Ta: 0.6521 0.6521 0.0000  4 Sc 3.01, 4 Ta 3.05, 4 Pb 3.15
Pb: 0.3191 0.3191 0.0000  4 Pb 3.05, 4 Ta 3.15, 4 Sc 3.30



Entry from the Alexandria database: a PBEsol-optimized structure of Nb2CO (meta-GGA SCAN).

Calculated values
Calculated total energy ... -21.354 eV/atom
Uncorrected formation energy ... -0.7065 eV per atom

Cell: 3.9122 3.9122 3.9122 Å, 60.00 60.00 60.00°
With the nearest neighbours (Å) after each atom.
Positions (direct):
Nb: 0.2500 0.2500 0.2500  4 O 2.40, 4 C 2.40
Nb: 0.7500 0.7500 0.7500  4 O 2.40, 4 C 2.40
C: 0.0000 0.0000 0.0000  8 Nb 2.40
O: 0.5000 0.5000 0.5000  8 Nb 2.40



Entry from the Alexandria database: a PBEsol-optimized structure of CdTe2Se2 (meta-GGA SCAN).

Calculated values
Calculated total energy ... -28.976 eV/atom
Uncorrected formation energy ... 0.0387 eV per atom

Cell: 6.1034 6.1034 6.1034 Å, 123.42 123.42 84.17°
With the nearest neighbours (Å) after each atom.
Positions (direct):
Cd: 0.0000 0.0000 0.0000  2 Te 2.67
Te: 0.2947 0.2947 0.0000  1 Cd 2.67, 4 Se 2.92
Te: 0.7053 0.7053 0.0000  1 Cd 2.67, 4 Se 2.92
Se: 0.2500 0.7500 0.5000  4 Te 2.92
Se: 0.7500 0.2500 0.5000  4 Te 2.92